Ca2AcGa after structural relaxation. Source: Alexandria, functional PBE.

Summary:
The total moment is 0.0 μB/cell. For the formation energy, the calculation gives -0.1062 eV per atom. The value obtained for the energy relative to the lowest polymorph listed for this composition is 122.5 meV/atom.

a = 3.9000 Å, b = 3.9000 Å, c = 32.8162 Å
α = 90.00°, β = 90.00°, γ = 120.00°
Last column: nearest neighbours and their distance in Å.
Space group R3m (No. 160, hexagonal axes)
Inequivalent atoms, fractional coordinates:
Ca (0.0000, 0.0000, 0.0000)  3 Ga 3.09
Ca (0.0000, 0.0000, 0.2043)  3 Ga 3.10
Ac (0.0000, 0.0000, 0.7675)  6 Ac 3.90, 6 Ca 4.00-4.07
Ga (0.0000, 0.0000, 0.6024)  6 Ca 3.09-3.10